This record from Alexandria via LeMat-Bulk describes crystalline Cr3Ir4Rh2 at its relaxed geometry. The functional is PBE.

Output
- size of the total moment (μB per formula unit) = 0.00
- energy relative to the elements (kcal/mol of atoms) = -0.4

Lattice parameters (Å, degrees): 9.7949 9.0398 6.9462 90.00 126.43 90.00
Last column: nearest neighbours and their distance in Å.
Space group C2/c (No. 15)
Symmetry-distinct sites (fractional):
Cr1 0.0000 0.1548 0.2500 [4 per cell]  8 Ir 2.53-2.66, 2 Rh 2.77
Cr2 0.0400 0.3838 0.9585 [8 per cell]  2 Cr 2.43-2.51, 2 Rh 2.51-2.52, 3 Ir 2.52-2.69
Ir1 0.1073 0.0860 0.6895 [8 per cell]  3 Cr 2.56-2.82, 4 Rh 2.64-2.75, 3 Ir 2.67-2.69
Ir2 0.1706 0.3915 0.4140 [8 per cell]  5 Cr 2.52-2.69, 2 Ir 2.67-2.71, 2 Rh 2.69-2.73
Rh1 0.2281 0.1605 0.1378 [8 per cell]  4 Cr 2.51-2.77, 6 Ir 2.64-2.75, 1 Rh 2.73